## Ce5Mg4Tl4 (PBE-GGA)

Data for a geometry-optimized Ce5Mg4Tl4 structure.

Cell: 4.668 9.160 9.160 Å, 86.28 75.24 75.24°
Fractional coordinates of all 13 atoms:
Ce (0.000, 0.000, 0.000)
Mg (0.418, 0.685, 0.479)
Mg (0.582, 0.315, 0.521)
Mg (0.103, 0.479, 0.315)
Tl (0.935, 0.810, 0.319)
Tl (0.065, 0.190, 0.681)
Tl (0.746, 0.319, 0.190)
Ce (0.624, 0.680, 0.071)
Ce (0.305, 0.071, 0.320)
Ce (0.376, 0.320, 0.929)
Tl (0.254, 0.681, 0.810)
Ce (0.695, 0.929, 0.680)
Mg (0.897, 0.521, 0.685)

Properties
E_form: -0.134 eV/atom
calculated density: 7.33 Mg/m³
V: 28.17 Å³/atom


## CeMg3Tl4 (PBE-GGA)

Data for a geometry-optimized CeMg3Tl4 structure.

Cell: 5.128 7.832 10.257 Å, 90.00 90.00 90.00°
Fractional coordinates of all 16 atoms:
Tl (0.500, 0.766, 0.500)
Tl (0.000, 0.766, 0.750)
Tl (0.500, 0.234, 0.500)
Mg (0.000, 0.000, 0.000)
Tl (0.000, 0.234, 0.750)
Ce (0.000, 0.500, 0.500)
Ce (0.000, 0.500, 0.000)
Mg (0.501, 0.000, 0.750)
Mg (0.500, 0.500, 0.250)
Tl (0.500, 0.234, 0.000)
Tl (0.000, 0.234, 0.250)
Tl (0.000, 0.766, 0.250)
Mg (0.500, 0.500, 0.750)
Tl (0.500, 0.766, 0.000)
Mg (0.000, 0.000, 0.500)
Mg (0.499, 0.000, 0.250)

Properties
E_form: -0.131 eV/atom
calculated density: 8.31 Mg/m³
V: 25.75 Å³/atom


## CeMg2Tl3 (PBE-GGA)

Data for a geometry-optimized CeMg2Tl3 structure.

Cell: 5.170 5.170 13.721 Å, 90.00 90.00 120.00°
Fractional coordinates of all 12 atoms:
Mg (0.333, 0.667, 0.610)
Mg (0.667, 0.333, 0.110)
Ce (0.000, 0.000, 0.250)
Mg (0.333, 0.667, 0.890)
Tl (0.667, 0.333, 0.865)
Ce (0.000, 0.000, 0.750)
Tl (0.000, 0.000, 0.000)
Tl (0.333, 0.667, 0.365)
Tl (0.333, 0.667, 0.135)
Mg (0.667, 0.333, 0.390)
Tl (0.000, 0.000, 0.500)
Tl (0.667, 0.333, 0.635)

Properties
E_form: -0.128 eV/atom
calculated density: 8.38 Mg/m³
V: 26.47 Å³/atom
offset from the most stable computed form: 28 meV per atom


## CeMg5Tl5 (PBE-GGA)

Data for a geometry-optimized CeMg5Tl5 structure.

Cell: 5.696 5.696 10.565 Å, 90.00 90.00 120.00°
Fractional coordinates of all 11 atoms:
Mg (0.000, 0.000, 0.741)
Ce (0.333, 0.667, 0.000)
Mg (0.336, 0.168, 0.500)
Tl (0.333, 0.667, 0.335)
Tl (0.667, 0.333, 0.822)
Mg (0.000, 0.000, 0.259)
Tl (0.667, 0.333, 0.178)
Mg (0.832, 0.168, 0.500)
Tl (0.000, 0.000, 0.000)
Mg (0.832, 0.664, 0.500)
Tl (0.333, 0.667, 0.665)

Properties
E_form: 0.021 eV/atom
calculated density: 7.18 Mg/m³
V: 26.99 Å³/atom


## Ce2MgTl8 (PBE-GGA)

Data for a geometry-optimized Ce2MgTl8 structure.

Cell: 5.019 5.019 12.425 Å, 90.00 90.00 90.00°
Fractional coordinates of all 11 atoms:
Tl (0.500, 0.000, 0.867)
Mg (0.000, 0.000, 0.000)
Ce (0.000, 0.000, 0.688)
Ce (0.000, 0.000, 0.312)
Tl (0.000, 0.500, 0.867)
Tl (0.500, 0.500, 0.686)
Tl (0.500, 0.500, 0.314)
Tl (0.000, 0.500, 0.500)
Tl (0.500, 0.000, 0.133)
Tl (0.000, 0.500, 0.133)
Tl (0.500, 0.000, 0.500)

Properties
E_form: -0.157 eV/atom
calculated density: 10.29 Mg/m³
V: 28.46 Å³/atom


## Ce3MgTl4 (PBE-GGA)

Data for a geometry-optimized Ce3MgTl4 structure.

Cell: 6.709 6.682 9.663 Å, 90.00 90.00 90.00°
Fractional coordinates of all 16 atoms:
Mg (0.683, 0.517, 0.500)
Tl (0.667, 0.465, 0.000)
Tl (0.431, 0.735, 0.248)
Tl (0.723, 0.006, 0.500)
Ce (0.422, 0.235, 0.729)
Ce (0.922, 0.765, 0.771)
Mg (0.183, 0.483, 0.000)
Ce (0.422, 0.235, 0.271)
Tl (0.931, 0.265, 0.748)
Ce (0.736, 0.957, 0.000)
Tl (0.167, 0.535, 0.500)
Ce (0.236, 0.043, 0.500)
Tl (0.431, 0.735, 0.752)
Tl (0.223, 0.994, 0.000)
Tl (0.931, 0.265, 0.252)
Ce (0.922, 0.765, 0.229)

Properties
E_form: -0.195 eV/atom
calculated density: 9.68 Mg/m³
V: 27.08 Å³/atom


## CeMg3Tl3 (PBE-GGA)

Data for a geometry-optimized CeMg3Tl3 structure.

Cell: 7.789 7.789 7.789 Å, 90.00 90.00 90.00°
Fractional coordinates of all 14 atoms:
Ce (0.500, 0.500, 0.500)
Mg (0.000, 0.750, 0.500)
Tl (0.250, 0.000, 0.500)
Mg (0.250, 0.500, 0.000)
Tl (0.000, 0.500, 0.750)
Mg (0.500, 0.000, 0.750)
Ce (0.000, 0.000, 0.000)
Tl (0.500, 0.250, 0.000)
Tl (0.000, 0.500, 0.250)
Mg (0.000, 0.250, 0.500)
Tl (0.750, 0.000, 0.500)
Mg (0.500, 0.000, 0.250)
Tl (0.500, 0.750, 0.000)
Mg (0.750, 0.500, 0.000)

Properties
E_form: 0.397 eV/atom
calculated density: 5.81 Mg/m³
V: 33.75 Å³/atom
offset from the most stable computed form: 459 meV per atom


## Ce2Mg2Tl (PBE-GGA)

Data for a geometry-optimized Ce2Mg2Tl structure.

Cell: 3.324 5.261 7.959 Å, 109.29 90.00 90.00°
Fractional coordinates of all 5 atoms:
Tl (0.000, 0.000, 0.000)
Ce (0.500, 0.408, 0.815)
Mg (0.000, 0.797, 0.594)
Mg (0.000, 0.203, 0.406)
Ce (0.500, 0.592, 0.185)

Properties
E_form: -0.088 eV/atom
calculated density: 6.74 Mg/m³
V: 26.28 Å³/atom


## Ce3MgTl2 (PBE-GGA)

Data for a geometry-optimized Ce3MgTl2 structure.

Cell: 4.915 4.688 7.411 Å, 108.44 90.00 90.00°
Fractional coordinates of all 6 atoms:
Ce (0.500, 0.500, 0.000)
Ce (0.500, 0.832, 0.664)
Tl (0.000, 0.660, 0.321)
Ce (0.500, 0.168, 0.336)
Tl (0.000, 0.340, 0.679)
Mg (0.000, 0.000, 0.000)

Properties
E_form: -0.162 eV/atom
calculated density: 8.75 Mg/m³
V: 27.00 Å³/atom
offset from the most stable computed form: 0 meV per atom


## CeMg4Tl2 (PBE-GGA)

Data for a geometry-optimized CeMg4Tl2 structure.

Cell: 4.679 8.719 8.719 Å, 90.00 90.00 90.00°
Fractional coordinates of all 14 atoms:
Mg (0.500, 0.845, 0.404)
Mg (0.500, 0.596, 0.155)
Tl (0.500, 0.296, 0.296)
Mg (0.500, 0.404, 0.845)
Ce (0.500, 0.000, 0.000)
Tl (0.000, 0.796, 0.204)
Mg (0.500, 0.155, 0.596)
Mg (0.000, 0.904, 0.655)
Tl (0.000, 0.204, 0.796)
Mg (0.000, 0.655, 0.904)
Mg (0.000, 0.096, 0.345)
Ce (0.000, 0.500, 0.500)
Tl (0.500, 0.704, 0.704)
Mg (0.000, 0.345, 0.096)

Properties
E_form: -0.096 eV/atom
calculated density: 6.03 Mg/m³
V: 25.41 Å³/atom


## CeMg4Tl5 (PBE-GGA)

Data for a geometry-optimized CeMg4Tl5 structure.

Cell: 3.695 3.695 18.695 Å, 90.00 90.00 90.00°
Fractional coordinates of all 10 atoms:
Tl (0.500, 0.500, 0.694)
Mg (0.000, 0.000, 0.401)
Tl (0.500, 0.500, 0.885)
Ce (0.000, 0.000, 0.000)
Mg (0.000, 0.000, 0.791)
Mg (0.000, 0.000, 0.599)
Mg (0.000, 0.000, 0.209)
Tl (0.500, 0.500, 0.500)
Tl (0.500, 0.500, 0.115)
Tl (0.500, 0.500, 0.306)

Properties
E_form: -0.077 eV/atom
calculated density: 8.19 Mg/m³
V: 25.52 Å³/atom


## CeMg4Tl (PBE-GGA)

Data for a geometry-optimized CeMg4Tl structure.

Cell: 6.058 6.058 6.058 Å, 60.00 60.00 60.00°
Fractional coordinates of all 6 atoms:
Ce (0.250, 0.250, 0.250)
Mg (0.625, 0.625, 0.625)
Mg (0.625, 0.625, 0.126)
Tl (0.000, 0.000, 0.000)
Mg (0.126, 0.625, 0.625)
Mg (0.625, 0.126, 0.625)

Properties
E_form: 0.061 eV/atom
calculated density: 4.67 Mg/m³
V: 26.20 Å³/atom


## CeMg6Tl4 (PBE-GGA)

Data for a geometry-optimized CeMg6Tl4 structure.

Cell: 4.562 8.408 8.408 Å, 120.00 90.00 90.00°
Fractional coordinates of all 11 atoms:
Mg (0.500, 0.206, 0.794)
Mg (0.000, 0.536, 0.464)
Mg (0.000, 0.536, 0.071)
Mg (0.000, 0.929, 0.464)
Ce (0.000, 0.000, 0.000)
Mg (0.500, 0.587, 0.794)
Tl (0.500, 0.814, 0.186)
Mg (0.500, 0.206, 0.413)
Tl (0.000, 0.333, 0.667)
Tl (0.500, 0.814, 0.628)
Tl (0.500, 0.372, 0.186)

Properties
E_form: -0.059 eV/atom
calculated density: 6.56 Mg/m³
V: 25.39 Å³/atom


## CeMg6Tl6 (PBE-GGA)

Data for a geometry-optimized CeMg6Tl6 structure.

Cell: 6.184 7.939 7.939 Å, 76.92 67.08 67.08°
Fractional coordinates of all 13 atoms:
Mg (0.500, 0.000, 0.500)
Mg (0.000, 0.500, 0.000)
Mg (0.500, 0.755, 0.245)
Tl (0.000, 0.657, 0.343)
Tl (0.000, 0.343, 0.657)
Mg (0.500, 0.245, 0.755)
Tl (0.664, 0.836, 0.836)
Mg (0.500, 0.500, 0.000)
Ce (0.000, 0.000, 0.000)
Tl (0.663, 0.337, 0.337)
Tl (0.337, 0.663, 0.663)
Tl (0.336, 0.164, 0.164)
Mg (0.000, 0.000, 0.500)

Properties
E_form: -0.085 eV/atom
calculated density: 7.62 Mg/m³
V: 25.33 Å³/atom


## CeMgTl5 (PBE-GGA)

Data for a geometry-optimized CeMgTl5 structure.

Cell: 5.116 5.116 7.703 Å, 90.00 90.00 90.00°
Fractional coordinates of all 7 atoms:
Tl (0.000, 0.500, 0.286)
Tl (0.500, 0.000, 0.286)
Ce (0.000, 0.000, 0.000)
Tl (0.000, 0.500, 0.714)
Mg (0.000, 0.000, 0.500)
Tl (0.500, 0.500, 0.000)
Tl (0.500, 0.000, 0.714)

Properties
E_form: -0.115 eV/atom
calculated density: 9.77 Mg/m³
V: 28.80 Å³/atom


## Ce5MgTl5 (PBE-GGA)

Data for a geometry-optimized Ce5MgTl5 structure.

Cell: 5.755 9.416 7.025 Å, 111.78 90.00 107.79°
Fractional coordinates of all 11 atoms:
Tl (0.500, 0.000, 0.000)
Mg (0.000, 0.000, 0.000)
Ce (0.356, 0.712, 0.354)
Tl (0.844, 0.688, 0.620)
Tl (0.156, 0.312, 0.380)
Tl (0.844, 0.688, 0.068)
Ce (0.000, 0.000, 0.500)
Ce (0.694, 0.388, 0.195)
Tl (0.156, 0.312, 0.932)
Ce (0.644, 0.288, 0.646)
Ce (0.306, 0.612, 0.805)

Properties
E_form: -0.003 eV/atom
calculated density: 8.69 Mg/m³
V: 30.35 Å³/atom


## CeMg3Tl6 (PBE-GGA)

Data for a geometry-optimized CeMg3Tl6 structure.

Cell: 5.041 12.941 11.372 Å, 134.09 90.00 90.00°
Fractional coordinates of all 20 atoms:
Tl (0.250, 0.064, 0.148)
Tl (0.250, 0.821, 0.529)
Tl (0.250, 0.142, 0.931)
Ce (0.750, 0.056, 0.667)
Mg (0.250, 0.547, 0.130)
Tl (0.250, 0.268, 0.743)
Mg (0.250, 0.351, 0.532)
Tl (0.750, 0.936, 0.852)
Tl (0.250, 0.629, 0.924)
Tl (0.750, 0.179, 0.471)
Mg (0.750, 0.263, 0.259)
Mg (0.250, 0.737, 0.741)
Mg (0.750, 0.453, 0.870)
Ce (0.250, 0.944, 0.333)
Tl (0.750, 0.371, 0.076)
Tl (0.750, 0.858, 0.069)
Tl (0.750, 0.547, 0.654)
Tl (0.250, 0.453, 0.346)
Mg (0.750, 0.649, 0.468)
Tl (0.750, 0.732, 0.257)

Properties
E_form: -0.067 eV/atom
calculated density: 8.97 Mg/m³
V: 26.64 Å³/atom


## CeMg2Tl3 (PBE-GGA)

Data for a geometry-optimized CeMg2Tl3 structure.

Cell: 5.214 5.214 13.350 Å, 90.00 90.00 120.00°
Fractional coordinates of all 12 atoms:
Mg (0.333, 0.667, 0.166)
Mg (0.000, 0.000, 0.500)
Mg (0.667, 0.333, 0.834)
Tl (0.000, 0.000, 0.234)
Tl (0.333, 0.667, 0.924)
Tl (0.333, 0.667, 0.419)
Tl (0.000, 0.000, 0.766)
Ce (0.333, 0.667, 0.669)
Tl (0.667, 0.333, 0.076)
Tl (0.667, 0.333, 0.581)
Mg (0.000, 0.000, 0.000)
Ce (0.667, 0.333, 0.331)

Properties
E_form: -0.156 eV/atom
calculated density: 8.47 Mg/m³
V: 26.19 Å³/atom
offset from the most stable computed form: 0 meV per atom


## CeMg15Tl4 (PBE-GGA)

Data for a geometry-optimized CeMg15Tl4 structure.

Cell: 4.846 4.846 20.378 Å, 90.00 90.00 90.00°
Fractional coordinates of all 20 atoms:
Ce (0.000, 0.000, 0.000)
Tl (0.000, 0.000, 0.795)
Mg (0.000, 0.500, 0.305)
Mg (0.000, 0.500, 0.695)
Tl (0.000, 0.000, 0.404)
Mg (0.500, 0.500, 0.599)
Mg (0.500, 0.000, 0.891)
Mg (0.000, 0.500, 0.500)
Mg (0.500, 0.000, 0.305)
Mg (0.500, 0.500, 0.210)
Mg (0.500, 0.500, 0.790)
Mg (0.500, 0.500, 0.401)
Mg (0.500, 0.000, 0.500)
Mg (0.500, 0.500, 0.000)
Mg (0.000, 0.500, 0.891)
Mg (0.000, 0.500, 0.109)
Tl (0.000, 0.000, 0.205)
Tl (0.000, 0.000, 0.596)
Mg (0.500, 0.000, 0.109)
Mg (0.500, 0.000, 0.695)

Properties
E_form: -0.010 eV/atom
calculated density: 4.59 Mg/m³
V: 23.93 Å³/atom


## CeMg3Tl (PBE-GGA)

Data for a geometry-optimized CeMg3Tl structure.

Cell: 4.519 9.435 12.470 Å, 90.00 90.00 90.00°
Fractional coordinates of all 20 atoms:
Mg (0.250, 0.067, 0.399)
Tl (0.750, 0.368, 0.125)
Ce (0.250, 0.169, 0.003)
Mg (0.250, 0.357, 0.292)
Ce (0.750, 0.831, 0.997)
Tl (0.250, 0.632, 0.875)
Ce (0.750, 0.331, 0.503)
Mg (0.250, 0.567, 0.101)
Mg (0.750, 0.143, 0.792)
Mg (0.750, 0.933, 0.601)
Mg (0.250, 0.410, 0.714)
Mg (0.250, 0.857, 0.208)
Mg (0.250, 0.910, 0.786)
Tl (0.250, 0.132, 0.625)
Mg (0.750, 0.590, 0.286)
Mg (0.750, 0.090, 0.214)
Mg (0.750, 0.643, 0.708)
Ce (0.250, 0.669, 0.497)
Mg (0.750, 0.433, 0.899)
Tl (0.750, 0.868, 0.375)

Properties
E_form: -0.023 eV/atom
calculated density: 5.22 Mg/m³
V: 26.58 Å³/atom